1.
DFT (GGA-PBE) results for crystalline Ac6Rh3Se2Cl at its relaxed geometry.

Cell: 10.192 10.192 9.247 Å, 108.56 108.56 24.40°
Sites, in units of the cell vectors:
Ac: 0.007 0.007 0.227
Ac: 0.324 0.324 0.432
Ac: 0.339 0.339 0.903
Ac: 0.661 0.661 0.097
Ac: 0.676 0.676 0.568
Ac: 0.993 0.993 0.773
Rh: 0.166 0.166 0.332
Rh: 0.500 0.500 0.000
Rh: 0.834 0.834 0.668
Se: 0.164 0.164 0.827
Se: 0.836 0.836 0.173
Cl: 0.500 0.500 0.500

formation energy without anion corrections: -1.261 eV/atom

***

2.
DFT (GGA-PBE) results for crystalline Ac6SiRh2Cl3 at its relaxed geometry.

Cell: 10.296 10.296 9.340 Å, 106.34 106.34 24.49°
Sites, in units of the cell vectors:
Ac: 0.016 0.016 0.242
Ac: 0.322 0.322 0.440
Ac: 0.338 0.338 0.885
Ac: 0.662 0.662 0.115
Ac: 0.678 0.678 0.560
Ac: 0.984 0.984 0.758
Si: 0.500 0.500 0.000
Rh: 0.170 0.170 0.338
Rh: 0.830 0.830 0.662
Cl: 0.151 0.151 0.831
Cl: 0.500 0.500 0.500
Cl: 0.849 0.849 0.169

formation energy without anion corrections: -1.193 eV/atom

***

3.
DFT (GGA-PBE) results for crystalline Ac8SiRh3Cl4 at its relaxed geometry.

Cell: 8.830 8.830 9.338 Å, 118.25 118.25 60.01°
Sites, in units of the cell vectors:
Ac: 0.223 0.741 0.704
Ac: 0.236 0.236 0.709
Ac: 0.259 0.259 0.295
Ac: 0.259 0.777 0.296
Ac: 0.741 0.223 0.704
Ac: 0.741 0.741 0.705
Ac: 0.764 0.764 0.291
Ac: 0.777 0.259 0.296
Si: 0.500 0.500 0.500
Rh: 0.000 0.000 0.500
Rh: 0.000 0.500 0.500
Rh: 0.500 0.000 0.500
Cl: 0.000 0.000 0.000
Cl: 0.000 0.500 0.000
Cl: 0.500 0.000 0.000
Cl: 0.500 0.500 0.000

formation energy without anion corrections: -1.166 eV/atom

***

4.
DFT (GGA-PBE) results for crystalline Ac3SnRhCl at its relaxed geometry.

Cell: 8.353 4.732 10.502 Å, 90.00 108.86 90.00°
Sites, in units of the cell vectors:
Ac: 0.046 0.250 0.360
Ac: 0.211 0.250 0.969
Ac: 0.424 0.750 0.629
Ac: 0.576 0.250 0.371
Ac: 0.789 0.750 0.031
Ac: 0.954 0.750 0.640
Sn: 0.241 0.750 0.221
Sn: 0.759 0.250 0.779
Rh: 0.201 0.250 0.642
Rh: 0.799 0.750 0.358
Cl: 0.392 0.750 0.903
Cl: 0.608 0.250 0.097

formation energy without anion corrections: -0.916 eV/atom